# 1
Entry from the Alexandria database: an optimized crystal structure of ICl2F2 (PBE).

Cell and atoms, written as CIF:
```
data_ICl2F2
_cell_length_a 6.936
_cell_length_b 6.936
_cell_length_c 3.927
_cell_angle_alpha 90.00
_cell_angle_beta 90.00
_cell_angle_gamma 90.00
_space_group_name_H-M_alt 'P 4/m b m'
_space_group_IT_number 127
_space_group_name_Hall '-P 4 2ab'
loop_
_atom_site_label
_atom_site_type_symbol
_atom_site_fract_x
_atom_site_fract_y
_atom_site_fract_z
_atom_site_occupancy
I1 I 0.000 0.000 0.000 1
Cl1 Cl 0.154 0.346 0.000 1
F1 F 0.156 0.656 0.500 1
```

## Properties
**Energy above the lowest structure with this stoichiometry**: 0.0 meV/atom
**Total magnetization**: 1.9 μB per cell
**Formation energy from raw total energies**: 0.090 eV/atom



# 2
Entry from the Alexandria database: an optimized crystal structure of TbHo2F8 (PBE).

Cell and atoms, written as CIF:
```
data_TbHo2F8
_cell_length_a 6.953
_cell_length_b 10.230
_cell_length_c 4.293
_cell_angle_alpha 90.00
_cell_angle_beta 109.82
_cell_angle_gamma 90.00
_space_group_name_H-M_alt 'C 1 2/m 1'
_space_group_IT_number 12
loop_
_space_group_symop_operation_xyz
'x,y,z'
'-x,-y,-z'
'-x,y,-z'
'x,-y,z'
'x+1/2,y+1/2,z'
'-x+1/2,-y+1/2,-z'
'-x+1/2,y+1/2,-z'
'x+1/2,-y+1/2,z'
loop_
_atom_site_label
_atom_site_type_symbol
_atom_site_fract_x
_atom_site_fract_y
_atom_site_fract_z
_atom_site_occupancy
Tb1 Tb 0.000 0.000 0.000 1
Ho1 Ho 0.000 0.318 0.500 1
F1 F 0.000 0.248 0.000 1
F2 F 0.128 0.500 0.811 1
F3 F 0.185 0.128 0.526 1
```

## Properties
**Total magnetization**: 1.6 μB per cell
**Formation energy from raw total energies**: -3.808 eV/atom



# 3
Entry from the Alexandria database: an optimized crystal structure of RbTiIn2F8 (PBE).

Cell and atoms, written as CIF:
```
data_RbTiIn2F8
_cell_length_a 5.412
_cell_length_b 5.730
_cell_length_c 7.008
_cell_angle_alpha 92.42
_cell_angle_beta 93.50
_cell_angle_gamma 92.47
_space_group_name_H-M_alt 'P -1'
_space_group_IT_number 2
loop_
_space_group_symop_operation_xyz
'x,y,z'
'-x,-y,-z'
loop_
_atom_site_label
_atom_site_type_symbol
_atom_site_fract_x
_atom_site_fract_y
_atom_site_fract_z
_atom_site_occupancy
Rb1 Rb 0.000 0.000 0.000 1
Ti1 Ti 0.000 0.000 0.500 1
In1 In 0.480 0.510 0.729 1
F1 F 0.131 0.242 0.683 1
F2 F 0.143 0.768 0.653 1
F3 F 0.282 0.031 0.361 1
F4 F 0.425 0.705 0.007 1
```

## Properties
**Total magnetization**: 0.0 μB per cell
**Formation energy from raw total energies**: -2.707 eV/atom